Entry 1:
{"formula": "LiBeRe2", "functional": "GGA-PBE", "state": "relaxed", "lattice": [[-1.555, -2.504, 3.432], [-2.760, -3.197, -1.620], [4.278, 1.342, -0.602]], "species": ["Be", "Li", "Re", "Re"], "fractional_positions": [[0.485, 0.485, 0.000], [0.272, 0.772, 0.500], [0.004, 0.004, 0.000], [0.739, 0.239, 0.500]], "dos_at_fermi_per_ev_cell": 1.405, "magnetic_moment_mub_per_cell": 0.0}


Entry 2:
{"formula": "LiBe3Re", "functional": "GGA-PBE", "state": "relaxed", "lattice": [[-0.825, -0.140, 3.571], [0.701, -3.600, 0.021], [3.504, 0.687, 0.836]], "species": ["Re", "Li", "Be", "Be", "Be"], "fractional_positions": [[0.500, 0.500, 0.500], [0.000, 0.000, 0.000], [0.000, 0.500, 0.000], [0.000, 0.000, 0.500], [0.500, 0.000, 0.000]], "dos_at_fermi_per_ev_cell": 2.640, "magnetic_moment_mub_per_cell": 0.7, "polymorph_energy_mev_per_atom": 0.0}


Entry 3:
{"formula": "LiBeRe2", "functional": "GGA-PBE", "state": "relaxed", "lattice": [[3.042, 0.000, 0.000], [0.000, 3.042, 0.000], [0.000, 0.000, 5.432]], "species": ["Be", "Li", "Re", "Re"], "fractional_positions": [[0.500, 0.500, 0.250], [0.500, 0.500, 0.750], [0.000, 0.000, 0.034], [0.000, 0.000, 0.466]], "dos_at_fermi_per_ev_cell": 2.292, "magnetic_moment_mub_per_cell": 0.0}


Entry 4:
{"formula": "LiBeRe2", "functional": "GGA-PBE", "state": "relaxed", "lattice": [[2.652, -0.021, 0.000], [-1.005, 2.454, 0.000], [0.000, 0.000, 8.629]], "species": ["Be", "Li", "Re", "Re"], "fractional_positions": [[0.000, 0.000, 0.489], [0.500, 0.500, 0.740], [0.000, 0.000, 0.007], [0.500, 0.500, 0.264]], "dos_at_fermi_per_ev_cell": 2.499, "magnetic_moment_mub_per_cell": 0.0}


Entry 5:
{"formula": "LiBeRe", "functional": "GGA-PBE", "state": "relaxed", "lattice": [[-5.191, 0.647, -3.336], [-3.641, -2.454, -4.383], [3.487, 0.010, 5.131]], "species": ["Be", "Li", "Re"], "fractional_positions": [[0.007, 0.007, 0.000], [0.339, 0.339, 0.000], [0.654, 0.654, 0.000]], "dos_at_fermi_per_ev_cell": 1.143, "magnetic_moment_mub_per_cell": 0.0, "polymorph_energy_mev_per_atom": 20.9}


Entry 6:
{"formula": "LiBeRe2", "functional": "GGA-PBE", "state": "relaxed", "lattice": [[4.130, 0.000, 0.000], [0.000, 2.560, 0.024], [0.000, 1.097, 4.947]], "species": ["Be", "Li", "Re", "Re"], "fractional_positions": [[0.500, 0.250, 0.250], [0.500, 0.750, 0.750], [0.000, 0.010, 0.001], [0.000, 0.490, 0.499]], "dos_at_fermi_per_ev_cell": 2.337, "magnetic_moment_mub_per_cell": 0.0}


Entry 7:
{"formula": "LiBe2ReRh", "functional": "GGA-PBE", "state": "relaxed", "lattice": [[3.879, 0.000, 0.000], [0.000, 3.851, 0.000], [0.000, 0.000, 3.879]], "species": ["Re", "Li", "Rh", "Be", "Be"], "fractional_positions": [[0.500, 0.500, 0.500], [0.000, 0.000, 0.000], [0.000, 0.500, 0.000], [0.000, 0.000, 0.500], [0.500, 0.000, 0.000]], "dos_at_fermi_per_ev_cell": 4.329, "magnetic_moment_mub_per_cell": 0.0}


Entry 8:
{"formula": "LiBeReSn2", "functional": "GGA-PBE", "state": "relaxed", "lattice": [[-3.391, -0.938, 2.992], [2.913, -0.680, 3.089], [-0.201, 4.463, 1.172]], "species": ["Re", "Li", "Sn", "Sn", "Be"], "fractional_positions": [[0.000, 0.500, 0.000], [0.000, 0.000, 0.000], [0.000, 0.000, 0.500], [0.500, 0.000, 0.000], [0.500, 0.500, 0.500]], "dos_at_fermi_per_ev_cell": 2.825, "magnetic_moment_mub_per_cell": 0.0}


Entry 9:
{"formula": "LiBeTl2Re", "functional": "GGA-PBE", "state": "relaxed", "lattice": [[4.801, 0.000, 0.000], [0.000, 4.277, 0.000], [0.000, 0.000, 4.801]], "species": ["Re", "Tl", "Tl", "Li", "Be"], "fractional_positions": [[0.000, 0.500, 0.000], [0.000, 0.000, 0.500], [0.500, 0.000, 0.000], [0.500, 0.500, 0.500], [0.000, 0.000, 0.000]], "dos_at_fermi_per_ev_cell": 2.133, "magnetic_moment_mub_per_cell": 0.0}


Entry 10:
{"formula": "Li4BeRh", "functional": "GGA-PBE", "state": "relaxed", "lattice": [[0.000, 3.325, 3.325], [3.325, 0.000, 3.325], [3.325, 3.325, 0.000]], "species": ["Li", "Li", "Li", "Li", "Be", "Rh"], "fractional_positions": [[0.872, 0.376, 0.376], [0.376, 0.376, 0.872], [0.376, 0.872, 0.376], [0.376, 0.376, 0.376], [0.000, 0.000, 0.000], [0.750, 0.750, 0.750]], "dos_at_fermi_per_ev_cell": 2.505, "magnetic_moment_mub_per_cell": 0.0}


Entry 11:
{"formula": "LiBeRh2", "functional": "GGA-PBE", "state": "relaxed", "lattice": [[-2.210, -1.342, 2.510], [0.713, -2.507, -0.712], [4.142, -1.252, 2.978]], "species": ["Be", "Li", "Rh", "Rh"], "fractional_positions": [[0.500, 0.250, 0.250], [0.500, 0.750, 0.750], [0.000, 0.103, 0.019], [0.000, 0.397, 0.481]], "dos_at_fermi_per_ev_cell": 3.326, "magnetic_moment_mub_per_cell": 0.0}


Entry 12:
{"formula": "LiBeRh2", "functional": "GGA-PBE", "state": "relaxed", "lattice": [[-0.720, 0.216, -2.687], [2.456, -1.094, -0.746], [-2.480, -5.708, 0.206]], "species": ["Be", "Li", "Rh", "Rh"], "fractional_positions": [[0.000, 0.000, 0.488], [0.500, 0.500, 0.727], [0.000, 0.000, 0.991], [0.500, 0.500, 0.295]], "dos_at_fermi_per_ev_cell": 3.941, "magnetic_moment_mub_per_cell": 0.0}


Entry 13:
{"formula": "LiBeRh2", "functional": "GGA-PBE", "state": "relaxed", "lattice": [[6.393, 0.000, 0.000], [0.000, 6.393, 0.000], [3.196, 3.196, 2.527]], "species": ["Be", "Be", "Rh", "Rh", "Rh", "Rh", "Li", "Li"], "fractional_positions": [[0.000, 0.000, 0.000], [0.750, 0.250, 0.500], [0.672, 0.125, 0.250], [0.078, 0.625, 0.250], [0.375, 0.328, 0.750], [0.875, 0.922, 0.750], [0.500, 0.500, 0.000], [0.250, 0.750, 0.500]], "dos_at_fermi_per_ev_cell": 8.968, "magnetic_moment_mub_per_cell": 0.0}


Entry 14:
{"formula": "LiBeRh2", "functional": "GGA-PBE", "state": "relaxed", "lattice": [[-0.676, 0.677, 2.485], [1.607, -3.174, 1.302], [4.249, 2.361, 0.514]], "species": ["Be", "Li", "Rh", "Rh"], "fractional_positions": [[0.000, 0.000, 0.485], [0.500, 0.500, 0.753], [0.000, 0.000, 0.991], [0.500, 0.500, 0.271]], "dos_at_fermi_per_ev_cell": 4.443, "magnetic_moment_mub_per_cell": 0.0}


Entry 15:
{"formula": "LiBeRh2", "functional": "GGA-PBE", "state": "relaxed", "lattice": [[2.815, 0.000, 0.000], [0.000, 2.815, 0.000], [0.000, 0.000, 5.942]], "species": ["Be", "Li", "Rh", "Rh"], "fractional_positions": [[0.500, 0.500, 0.250], [0.500, 0.500, 0.750], [0.000, 0.000, 0.023], [0.000, 0.000, 0.477]], "dos_at_fermi_per_ev_cell": 5.104, "magnetic_moment_mub_per_cell": 0.0}


Entry 16:
{"formula": "LiBeRh2", "functional": "GGA-PBE", "state": "relaxed", "lattice": [[2.642, 0.004, 0.000], [-1.193, 2.357, 0.000], [0.000, 0.000, 8.504]], "species": ["Be", "Li", "Rh", "Rh"], "fractional_positions": [[0.000, 0.000, 0.482], [0.500, 0.500, 0.746], [0.000, 0.000, 0.996], [0.500, 0.500, 0.277]], "dos_at_fermi_per_ev_cell": 4.594, "magnetic_moment_mub_per_cell": 0.1}


Entry 17:
{"formula": "LiBeRh", "functional": "GGA-PBE", "state": "relaxed", "lattice": [[-1.857, 0.160, -4.329], [-4.081, 0.139, -2.355], [-0.609, 2.836, -0.655]], "species": ["Be", "Li", "Rh"], "fractional_positions": [[0.038, 0.038, 0.962], [0.332, 0.332, 0.668], [0.630, 0.630, 0.370]], "dos_at_fermi_per_ev_cell": 1.177, "magnetic_moment_mub_per_cell": 0.0, "polymorph_energy_mev_per_atom": 90.7}


Entry 18:
{"formula": "LiBeRh", "functional": "GGA-PBE", "state": "relaxed", "lattice": [[-0.898, -3.726, 1.345], [4.244, -1.417, -1.093], [2.244, 1.776, 6.416]], "species": ["Li", "Li", "Li", "Li", "Be", "Be", "Be", "Be", "Rh", "Rh", "Rh", "Rh"], "fractional_positions": [[0.500, 0.250, 0.750], [0.000, 0.750, 0.250], [0.500, 0.750, 0.750], [0.000, 0.250, 0.250], [0.000, 0.500, 0.583], [0.000, 0.000, 0.917], [0.500, 0.000, 0.417], [0.500, 0.500, 0.083], [0.000, 0.000, 0.583], [0.000, 0.500, 0.917], [0.500, 0.000, 0.083], [0.500, 0.500, 0.417]], "dos_at_fermi_per_ev_cell": 1.216, "magnetic_moment_mub_per_cell": 0.0, "polymorph_energy_mev_per_atom": 0.0}


Entry 19:
{"formula": "LiBeRh", "functional": "GGA-PBE", "state": "relaxed", "lattice": [[-2.726, 2.016, 1.488], [-1.514, -1.023, 3.221], [0.628, 1.994, 3.057]], "species": ["Be", "Li", "Rh"], "fractional_positions": [[0.500, 0.500, 0.500], [0.750, 0.750, 0.750], [0.000, 0.000, 0.000]], "dos_at_fermi_per_ev_cell": 0.077, "magnetic_moment_mub_per_cell": 0.0, "polymorph_energy_mev_per_atom": 722.3}


Entry 20:
{"formula": "Li2BeRh2", "functional": "GGA-PBE", "state": "relaxed", "lattice": [[-3.987, 4.048, 0.582], [-2.104, -2.728, 4.555], [2.611, 2.209, 2.529]], "species": ["Be", "Be", "Rh", "Rh", "Rh", "Rh", "Li", "Li", "Li", "Li"], "fractional_positions": [[0.000, 0.000, 0.000], [0.500, 0.500, 0.000], [0.342, 0.842, 0.000], [0.842, 0.658, 0.000], [0.658, 0.158, 0.000], [0.158, 0.342, 0.000], [0.164, 0.664, 0.500], [0.664, 0.836, 0.500], [0.836, 0.336, 0.500], [0.336, 0.164, 0.500]], "dos_at_fermi_per_ev_cell": 1.510, "magnetic_moment_mub_per_cell": 0.0}


Entry 21:
{"formula": "LiBe6Rh5", "functional": "GGA-PBE", "state": "relaxed", "lattice": [[-1.258, -2.682, 2.534], [2.377, -4.057, -3.114], [4.375, 3.927, 3.331]], "species": ["Be", "Be", "Be", "Be", "Be", "Be", "Rh", "Rh", "Rh", "Rh", "Rh", "Li"], "fractional_positions": [[0.826, 0.562, 0.652], [0.826, 0.090, 0.652], [0.500, 0.720, 0.000], [0.500, 0.280, 0.000], [0.174, 0.910, 0.348], [0.174, 0.438, 0.348], [0.649, 0.149, 0.298], [0.329, 0.329, 0.658], [0.000, 0.500, 0.000], [0.671, 0.671, 0.342], [0.351, 0.851, 0.702], [0.000, 0.000, 0.000]], "dos_at_fermi_per_ev_cell": 4.513, "magnetic_moment_mub_per_cell": 0.0}


Entry 22:
{"formula": "LiBeRh2", "functional": "GGA-PBE", "state": "relaxed", "lattice": [[2.667, -0.008, 0.000], [-1.162, 2.400, 0.000], [0.000, 0.000, 7.869]], "species": ["Be", "Li", "Rh", "Rh"], "fractional_positions": [[0.500, 0.500, 0.250], [0.500, 0.500, 0.750], [0.000, 0.000, 0.026], [0.000, 0.000, 0.474]], "dos_at_fermi_per_ev_cell": 3.495, "magnetic_moment_mub_per_cell": 0.0}


Entry 23:
{"formula": "LiBeRh2", "functional": "GGA-PBE", "state": "relaxed", "lattice": [[3.862, 0.000, 0.000], [0.000, 2.738, -0.001], [0.000, 1.382, 4.349]], "species": ["Be", "Li", "Rh", "Rh"], "fractional_positions": [[0.000, 0.706, 0.466], [0.500, 0.544, 0.784], [0.000, 0.973, 0.927], [0.500, 0.278, 0.323]], "dos_at_fermi_per_ev_cell": 4.559, "magnetic_moment_mub_per_cell": 0.0}


Entry 24:
{"formula": "LiBeRh2", "functional": "GGA-PBE", "state": "relaxed", "lattice": [[2.819, 0.000, 0.000], [0.000, 4.485, 0.000], [0.000, 0.000, 3.850]], "species": ["Be", "Li", "Rh", "Rh"], "fractional_positions": [[0.500, 0.000, 0.500], [0.000, 0.500, 0.500], [0.000, 0.000, 0.000], [0.500, 0.500, 0.000]], "dos_at_fermi_per_ev_cell": 2.305, "magnetic_moment_mub_per_cell": 0.0}


Entry 25:
{"formula": "LiBeRh2", "functional": "GGA-PBE", "state": "relaxed", "lattice": [[8.553, -0.010, -0.006], [8.132, 2.650, -0.006], [8.132, 1.287, 2.317]], "species": ["Be", "Li", "Rh", "Rh"], "fractional_positions": [[0.508, 0.508, 0.508], [0.751, 0.751, 0.751], [0.000, 0.000, 0.000], [0.242, 0.242, 0.242]], "dos_at_fermi_per_ev_cell": 3.322, "magnetic_moment_mub_per_cell": 0.0}


Entry 26:
{"formula": "LiBeRh", "functional": "GGA-PBE", "state": "relaxed", "lattice": [[-2.346, -1.595, -2.404], [1.324, -2.009, -2.836], [-0.418, -3.695, -0.016]], "species": ["Be", "Li", "Rh"], "fractional_positions": [[0.750, 0.750, 0.750], [0.000, 0.000, 0.000], [0.500, 0.500, 0.500]], "magnetic_moment_mub_per_cell": 0.0, "polymorph_energy_mev_per_atom": 308.2}


Entry 27:
{"formula": "LiBeRh2", "functional": "GGA-PBE", "state": "relaxed", "lattice": [[4.140, 0.000, 0.000], [2.070, 3.585, 0.000], [2.070, 1.195, 3.380]], "species": ["Be", "Li", "Rh", "Rh"], "fractional_positions": [[0.500, 0.500, 0.500], [0.750, 0.750, 0.750], [0.000, 0.000, 0.000], [0.250, 0.250, 0.250]], "dos_at_fermi_per_ev_cell": 4.778, "magnetic_moment_mub_per_cell": 1.0}


Entry 28:
{"formula": "LiBeRh2", "functional": "GGA-PBE", "state": "relaxed", "lattice": [[7.918, -0.008, -0.005], [7.450, 2.682, -0.005], [7.450, 1.296, 2.348]], "species": ["Be", "Li", "Rh", "Rh"], "fractional_positions": [[0.250, 0.250, 0.250], [0.750, 0.750, 0.750], [0.990, 0.990, 0.990], [0.510, 0.510, 0.510]], "dos_at_fermi_per_ev_cell": 3.475, "magnetic_moment_mub_per_cell": 0.5}


Entry 29:
{"formula": "LiBeRh2", "functional": "GGA-PBE", "state": "relaxed", "lattice": [[-2.169, -3.530, 2.635], [1.931, -4.507, 0.262], [0.678, 4.802, 0.770]], "species": ["Be", "Li", "Rh", "Rh"], "fractional_positions": [[0.508, 0.508, 0.000], [0.260, 0.760, 0.500], [0.995, 0.995, 0.000], [0.737, 0.237, 0.500]], "dos_at_fermi_per_ev_cell": 2.442, "magnetic_moment_mub_per_cell": 0.0}


Calculated values (eV/atom) of formation energy from the elements for the records, taken in order: 0.133, 0.841, 0.392, 0.297, 0.253, 0.274, 0.845, 1.282, 0.838, 0.169, -0.219, -0.166, -0.019, -0.108, -0.277, 0.061, -0.307, -0.398, 0.324, -0.115, -0.591, -0.257, -0.200, -0.187, 0.003, -0.090, -0.078, -0.293, -0.243.